# 1
The following is a PBE calculation of LaZr2Pt after structural relaxation, from the Alexandria database.

Output
M_tot: 0.00 μB per formula unit
E_tot: -29.0 eV per formula unit
Symmetry: R3m (160)

Unit cell a=9.5775 b=9.5775 c=9.5775 alpha=21.08 beta=21.08 gamma=21.08
Closest atoms and distances in Å follow each position.
Element x y z (fractional)
La  0.4896  0.4896  0.4896  3 Pt 3.02
Pt  0.7433  0.7433  0.7433  3 Zr 2.74, 3 La 3.02
Zr  0.0108  0.0108  0.0108  3 Pt 2.74
Zr  0.2563  0.2563  0.2563  9 Zr 3.19-3.50, 3 La 3.46


# 2
The following is a PBE calculation of LaZr2Pt after structural relaxation, from the Alexandria database.

Output
M_tot: 0.00 μB per formula unit
E_tot: -29.1 eV per formula unit
Symmetry: I4/mmm (139)

Unit cell a=5.9891 b=5.9891 c=5.9891 alpha=138.63 beta=138.63 gamma=59.94
Closest atoms and distances in Å follow each position.
Element x y z (fractional)
La  0.2500  0.7500  0.5000  4 Pt 2.99, 8 Zr 3.35
Pt  0.7500  0.2500  0.5000  4 La 2.99, 8 Zr 3.35
Zr  0.0000  0.0000  0.0000  4 Zr 2.99, 4 La 3.35, 4 Pt 3.35
Zr  0.5000  0.5000  0.0000  4 Zr 2.99, 4 Pt 3.35, 4 La 3.35


What did we get for ΔE_f? Answer: -23 -25 kJ per mole of atoms, in the order shown.